# LiCr3O8

A relaxed LiCr3O8 crystal (PBE+U, the Alexandria database).

Lattice parameters (Å, degrees): 5.0633 5.0633 6.4357 91.35 91.35 66.23
Positions (direct):
Li  0.0000  0.0000  0.0000
Cr  0.0000  0.0000  0.5000
Cr  0.3545  0.3545  0.2603
Cr  0.6455  0.6455  0.7397
O  0.2150  0.7230  0.2719
O  0.2312  0.2312  0.4557
O  0.2538  0.2538  0.0447
O  0.2770  0.7850  0.7281
O  0.7230  0.2150  0.2719
O  0.7462  0.7462  0.9553
O  0.7688  0.7688  0.5443
O  0.7850  0.2770  0.7281

- Crystal system: monoclinic
- VASP energy: -6.808 eV per atom
- Calculated density: 3201 kg/m3